No. 1
Material: Zr6CI12
Method: DFT, GGA-PBE
State: optimized geometry

Unit cell a=9.3522 b=9.3522 c=9.3522 alpha=106.50 beta=106.50 gamma=106.50
Positions (direct):
1 C 0.0000 0.0000 0.0000
2 I 0.6951 0.0787 0.2233
3 I 0.2233 0.6951 0.0787
4 I 0.0787 0.2233 0.6951
5 I 0.3049 0.9213 0.7767
6 I 0.7767 0.3049 0.9213
7 I 0.9213 0.7767 0.3049
8 I 0.4318 0.3576 0.1353
9 I 0.1353 0.4318 0.3576
10 I 0.3576 0.1353 0.4318
11 I 0.5682 0.6424 0.8647
12 I 0.8647 0.5682 0.6424
13 I 0.6424 0.8647 0.5682
14 Zr 0.2608 0.0222 0.0831
15 Zr 0.0831 0.2608 0.0222
16 Zr 0.0222 0.0831 0.2608
17 Zr 0.7392 0.9778 0.9169
18 Zr 0.9169 0.7392 0.9778
19 Zr 0.9778 0.9169 0.7392

Summary:
Energy relative to the elements, uncorrected = -0.9365 eV/atom
Space group = R-3 (148)
Electronic total energy = -5.100 eV per atom
Total moment = 0.00 μB per cell


No. 2
Material: InCoSb2
Method: DFT, GGA-PBE
State: optimized geometry

Unit cell a=3.9112 b=3.9112 c=7.4753 alpha=74.89 beta=74.89 gamma=59.89
Positions (direct):
1 Co 0.2500 0.2500 0.2500
2 In 0.7500 0.7500 0.7500
3 Sb 0.9743 0.9743 0.0775
4 Sb 0.5257 0.5257 0.4225

Summary:
Energy relative to the elements, uncorrected = 0.0189 eV/atom
Space group = C2/m (12)
Electronic total energy = -4.503 eV per atom
Total moment = 0.00 μB per cell


No. 3
Material: CaBrO2
Method: DFT, GGA-PBE
State: optimized geometry

Unit cell a=4.3494 b=7.2719 c=7.1178 alpha=71.26 beta=90.64 gamma=53.26
Positions (direct):
1 Ca 0.0461 0.1295 0.1251
2 Ca 0.2594 0.3998 0.5846
3 Br 0.7145 0.9632 0.4578
4 Br 0.5910 0.5661 0.2519
5 O 0.0003 0.1884 0.7733
6 O 0.3053 0.3408 0.9364
7 O 0.7662 0.4224 0.7733
8 O 0.5394 0.1068 0.9364

Summary:
Energy relative to the elements, uncorrected = -1.4574 eV/atom
Space group = C2/m (12)
Electronic total energy = -4.855 eV per atom
Offset from the most stable computed form = 0 meV/atom
Total moment = 0.00 μB per cell


- Number 3 is which compound?
  CaBrO2


What did the first record say?
Material: Zr6CI12
Method: DFT, GGA-PBE
State: optimized geometry

Unit cell a=9.3522 b=9.3522 c=9.3522 alpha=106.50 beta=106.50 gamma=106.50
Positions (direct):
1 C 0.0000 0.0000 0.0000
2 I 0.6951 0.0787 0.2233
3 I 0.2233 0.6951 0.0787
4 I 0.0787 0.2233 0.6951
5 I 0.3049 0.9213 0.7767
6 I 0.7767 0.3049 0.9213
7 I 0.9213 0.7767 0.3049
8 I 0.4318 0.3576 0.1353
9 I 0.1353 0.4318 0.3576
10 I 0.3576 0.1353 0.4318
11 I 0.5682 0.6424 0.8647
12 I 0.8647 0.5682 0.6424
13 I 0.6424 0.8647 0.5682
14 Zr 0.2608 0.0222 0.0831
15 Zr 0.0831 0.2608 0.0222
16 Zr 0.0222 0.0831 0.2608
17 Zr 0.7392 0.9778 0.9169
18 Zr 0.9169 0.7392 0.9778
19 Zr 0.9778 0.9169 0.7392

Summary:
Energy relative to the elements, uncorrected = -0.9365 eV/atom
Space group = R-3 (148)
Electronic total energy = -5.100 eV per atom
Total moment = 0.00 μB per cell


- Look up the energy relative to the elements, uncorrected of the third one.
  -1.4574 eV/atom


- Number 1 is which compound?
  Zr6CI12